1.
Here is KGe2BO6 after structural relaxation from the Alexandria database. Energies are from GGA-PBEsol.

Values from the calculation:
ΔE_f (raw) (kJ per mole of atoms): -190.4

Cell lengths 4.8062, 10.1904, 10.7504 Å; angles 90.00, 90.00, 90.00 degrees
Atoms (fractional coordinates):
1 K 0.3093 0.5293 0.1868
2 K 0.1907 0.4707 0.6868
3 K 0.6907 0.0293 0.3132
4 K 0.8093 0.9707 0.8132
5 Ge 0.7307 0.3010 0.9194
6 Ge 0.2307 0.1990 0.0806
7 Ge 0.7693 0.6990 0.4194
8 Ge 0.8001 0.6150 0.9339
9 Ge 0.2693 0.8010 0.5806
10 Ge 0.6999 0.3850 0.4339
11 Ge 0.3001 0.8850 0.0661
12 Ge 0.1999 0.1150 0.5661
13 B 0.1942 0.2657 0.3422
14 B 0.3058 0.7343 0.8422
15 B 0.6942 0.2343 0.6578
16 B 0.8058 0.7657 0.1578
17 O 0.0742 0.2539 0.2158
18 O 0.5272 0.8206 0.4654
19 O 0.3603 0.8608 0.9066
20 O 0.0031 0.7096 0.8328
21 O 0.9416 0.8776 0.0957
22 O 0.6397 0.3608 0.5934
23 O 0.9969 0.2096 0.6672
24 O 0.9258 0.7539 0.2842
25 O 0.4258 0.7461 0.7158
26 O 0.5584 0.1224 0.5957
27 O 0.0272 0.6794 0.5346
28 O 0.5031 0.7904 0.1672
29 O 0.0906 0.9504 0.5939
30 O 0.4416 0.6224 0.9043
31 O 0.0584 0.3776 0.4043
32 O 0.1397 0.1392 0.4066
33 O 0.4969 0.2904 0.3328
34 O 0.9728 0.1794 0.9654
35 O 0.9094 0.4504 0.9061
36 O 0.8603 0.6392 0.0934
37 O 0.4094 0.0496 0.0939
38 O 0.5906 0.5496 0.4061
39 O 0.5742 0.2461 0.7842
40 O 0.4728 0.3206 0.0346



2.
Here is KGeBPd2 after structural relaxation from the Alexandria database. Energies are from GGA-PBEsol.

Values from the calculation:
ΔH_f (0 K) (meV per atom): 523

Cell lengths 3.8884, 4.8716, 4.8716 Å; angles 90.00, 90.00, 90.00 degrees
Atoms (fractional coordinates):
1 Ge 0.0000 0.0000 0.0000
2 B 0.5000 0.0000 0.0000
3 K 0.5000 0.5000 0.5000
4 Pd 0.0000 0.0000 0.5000
5 Pd 0.0000 0.5000 0.0000



3.
Here is Rb2LaGeB after structural relaxation from the Alexandria database. Energies are from GGA-PBEsol.

Values from the calculation:
ΔH_f (0 K) (meV per atom): 874

Cell lengths 4.9659, 5.9759, 5.9759 Å; angles 90.00, 90.00, 90.00 degrees
Atoms (fractional coordinates):
1 Ge 0.5000 0.5000 0.5000
2 B 0.0000 0.0000 0.0000
3 Rb 0.0000 0.0000 0.5000
4 Rb 0.0000 0.5000 0.0000
5 La 0.5000 0.0000 0.0000



4.
Here is MnGeBSb2 after structural relaxation from the Alexandria database. Energies are from GGA-PBEsol.

Values from the calculation:
ΔE_f (raw) (kJ per mole of atoms): 62.6

Cell lengths 4.0100, 4.8734, 4.8734 Å; angles 90.00, 90.00, 90.00 degrees
Atoms (fractional coordinates):
1 Sb 0.0000 0.0000 0.5000
2 Sb 0.0000 0.5000 0.0000
3 Ge 0.5000 0.5000 0.5000
4 Mn 0.5000 0.0000 0.0000
5 B 0.0000 0.0000 0.0000



5.
Here is MnGe2BSe after structural relaxation from the Alexandria database. Energies are from GGA-PBEsol.

Values from the calculation:
ΔE_f (raw) (kJ per mole of atoms): 47.2

Cell lengths 4.3127, 4.3104, 4.3104 Å; angles 90.00, 90.00, 90.00 degrees
Atoms (fractional coordinates):
1 Ge 0.0000 0.0000 0.5000
2 Ge 0.0000 0.5000 0.0000
3 Mn 0.5000 0.0000 0.0000
4 B 0.0000 0.0000 0.0000
5 Se 0.5000 0.5000 0.5000



6.
Here is GeBMo3 after structural relaxation from the Alexandria database. Energies are from GGA-PBEsol.

Values from the calculation:
ΔH_f (0 K) (meV per atom): 2264

Cell lengths 4.4961, 4.4961, 4.4961 Å; angles 90.00, 90.00, 90.00 degrees
Atoms (fractional coordinates):
1 Mo 0.0000 0.5000 0.0000
2 Mo 0.0000 0.0000 0.5000
3 Mo 0.5000 0.0000 0.0000
4 B 0.5000 0.5000 0.5000
5 Ge 0.0000 0.0000 0.0000



7.
Here is Ge3BMo after structural relaxation from the Alexandria database. Energies are from GGA-PBEsol.

Values from the calculation:
ΔH_f (0 K) (meV per atom): 1281

Cell lengths 4.8023, 4.8023, 4.8023 Å; angles 90.00, 90.00, 90.00 degrees
Atoms (fractional coordinates):
1 Mo 0.0000 0.0000 0.0000
2 B 0.5000 0.5000 0.5000
3 Ge 0.0000 0.5000 0.0000
4 Ge 0.0000 0.0000 0.5000
5 Ge 0.5000 0.0000 0.0000



8.
Here is GeB3Mo after structural relaxation from the Alexandria database. Energies are from GGA-PBEsol.

Values from the calculation:
ΔH_f (0 K) (meV per atom): 2080

Cell lengths 3.9467, 3.9467, 3.9467 Å; angles 90.00, 90.00, 90.00 degrees
Atoms (fractional coordinates):
1 Mo 0.5000 0.5000 0.5000
2 B 0.0000 0.5000 0.0000
3 B 0.0000 0.0000 0.5000
4 B 0.5000 0.0000 0.0000
5 Ge 0.0000 0.0000 0.0000